(1)
Compound: LiTl2Pb
Source: the Alexandria database
Functional: PBEsol
Structure: relaxed

Summary:
The total energy is -23.34 eV/cell. As for the total magnetization: 0.00 μB per cell. For the energy relative to the elements, the calculation gives -2.57 kcal/mol of atoms. The calculation puts the density of states at the Fermi level at 1.5 states/eV/f.u.

a b c (Å): 3.7789 5.2704 10.1852
angles (deg): 90.00 90.00 90.00
Atoms (fractional coordinates):
Li 0.0000 0.0000 0.0000
Li 0.5000 0.5000 0.5000
Tl 0.0000 0.5000 0.2706
Tl 0.0000 0.5000 0.7294
Tl 0.5000 0.0000 0.2294
Tl 0.5000 0.0000 0.7706
Pb 0.0000 0.0000 0.5000
Pb 0.5000 0.5000 0.0000

(2)
Compound: LiTlPb2
Source: the Alexandria database
Functional: PBEsol
Structure: relaxed

Summary:
The total energy is -26.02 eV/cell. As for the total magnetization: 0.00 μB per cell. For the energy relative to the elements, the calculation gives -2.40 kcal/mol of atoms. The calculation puts the density of states at the Fermi level at 1.7 states/eV/f.u.

a b c (Å): 3.6712 5.3337 10.6145
angles (deg): 90.00 90.00 90.00
Atoms (fractional coordinates):
Li 0.0000 0.0000 0.0000
Li 0.5000 0.5000 0.5000
Tl 0.0000 0.5000 0.7233
Tl 0.5000 0.0000 0.2233
Pb 0.0000 0.0000 0.4931
Pb 0.0000 0.5000 0.2673
Pb 0.5000 0.0000 0.7673
Pb 0.5000 0.5000 0.9931